DFT (PBE) results for a relaxed K4Nb8SiP4O34 crystal.

Cell lengths 6.5263, 10.7798, 10.7798 Å; angles 90.00, 90.00, 90.00 degrees
Fractional coordinates of all 51 atoms:
K: 0.5000 0.5000 0.5000
K: 0.2981 0.0000 0.5000
K: 0.7019 0.5000 0.0000
K: 0.5000 0.0000 0.0000
Nb: 0.0000 0.1781 0.1781
Nb: 0.0000 0.8219 0.8219
Nb: 0.0000 0.8219 0.1781
Nb: 0.0000 0.1781 0.8219
Nb: 0.2030 0.5000 0.1867
Nb: 0.7970 0.8133 0.5000
Nb: 0.7970 0.1867 0.5000
Nb: 0.2030 0.5000 0.8133
Si: 0.0000 0.5000 0.5000
P: 0.5000 0.2402 0.2402
P: 0.5000 0.2402 0.7598
P: 0.5000 0.7598 0.7598
P: 0.5000 0.7598 0.2402
O: 0.3132 0.1614 0.1961
O: 0.3132 0.8386 0.8039
O: 0.6868 0.8039 0.1614
O: 0.6868 0.1961 0.8386
O: 0.3132 0.8386 0.1961
O: 0.6868 0.8039 0.8386
O: 0.6868 0.1961 0.1614
O: 0.3132 0.1614 0.8039
O: 0.0262 0.8246 0.0000
O: 0.9738 0.0000 0.8246
O: 0.9738 0.0000 0.1754
O: 0.0262 0.1754 0.0000
O: 0.1486 0.5000 0.3745
O: 0.8514 0.6255 0.5000
O: 0.8514 0.3745 0.5000
O: 0.1486 0.5000 0.6255
O: 0.4600 0.3781 0.2144
O: 0.2543 0.5000 0.0000
O: 0.7457 0.0000 0.5000
O: 0.0224 0.3630 0.8278
O: 0.9776 0.1722 0.3630
O: 0.9776 0.8278 0.6370
O: 0.0224 0.6370 0.1722
O: 0.9776 0.1722 0.6370
O: 0.9776 0.8278 0.3630
O: 0.0224 0.6370 0.8278
O: 0.0224 0.3630 0.1722
O: 0.4600 0.3781 0.7856
O: 0.5400 0.2144 0.3781
O: 0.5400 0.7856 0.6219
O: 0.4600 0.6219 0.2144
O: 0.5400 0.2144 0.6219
O: 0.5400 0.7856 0.3781
O: 0.4600 0.6219 0.7856

Magnetization (μB per formula unit): 0.0
Calculated volume (Å³ per atom): 14.9
Raw formation energy (meV per atom): -2485
Space group: P-4m2, No. 115